# MnCrF2, relaxed, DFT GGA+U
data_MnCrF2
_symmetry_space_group_name_H-M 'P 1'
_symmetry_Int_Tables_number 1
_cell_length_a 4.154
_cell_length_b 4.154
_cell_length_c 4.154
_cell_angle_alpha 60.00
_cell_angle_beta 60.00
_cell_angle_gamma 60.00
loop_
_symmetry_equiv_pos_as_xyz
'x,y,z'
loop_
_atom_site_label
_atom_site_type_symbol
_atom_site_fract_x
_atom_site_fract_y
_atom_site_fract_z
Mn1 Mn 0.000 0.000 0.000
Cr1 Cr 0.500 0.500 0.500
F1 F 0.250 0.250 0.250
F2 F 0.750 0.750 0.750
# * SG: Fm-3m (225)
# * energy relative to the lowest polymorph listed for this composition: 1032 meV per atom